# 1
Material: Mg2InGa3
Method: DFT, PBE
State: relaxed

Cell: 5.4114 5.4114 9.4294 Å, 100.25 100.25 110.54°
Closest atoms and distances in Å follow each position.
Fractional coordinates of all 12 atoms:
Mg (0.0424, 0.2951, 0.0950)  7 Ga 3.00-3.11, 3 In 3.04-3.09, 2 Mg 3.19-3.20
Mg (0.2951, 0.0424, 0.5950)  7 Ga 3.00-3.11, 3 In 3.04-3.09, 2 Mg 3.19-3.20
Mg (0.7049, 0.9576, 0.4050)  7 Ga 3.00-3.11, 3 In 3.04-3.09, 2 Mg 3.19-3.20
Mg (0.9576, 0.7049, 0.9050)  7 Ga 3.00-3.11, 3 In 3.04-3.09, 2 Mg 3.19-3.20
In (0.1266, 0.8734, 0.2500)  6 Mg 3.04-3.09, 6 Ga 3.08-3.16
In (0.8734, 0.1266, 0.7500)  6 Mg 3.04-3.09, 6 Ga 3.08-3.16
Ga (0.2165, 0.4635, 0.4301)  5 Ga 2.87-3.18, 5 Mg 3.00-3.11, 2 In 3.14-3.16
Ga (0.3761, 0.6239, 0.7500)  6 Ga 2.87-3.18, 4 Mg 3.02-3.07, 2 In 3.08
Ga (0.4635, 0.2165, 0.9301)  5 Ga 2.87-3.18, 5 Mg 3.00-3.11, 2 In 3.14-3.16
Ga (0.5365, 0.7835, 0.0699)  5 Ga 2.87-3.18, 5 Mg 3.00-3.11, 2 In 3.14-3.16
Ga (0.6239, 0.3761, 0.2500)  6 Ga 2.87-3.18, 4 Mg 3.02-3.07, 2 In 3.08
Ga (0.7835, 0.5365, 0.5699)  5 Ga 2.87-3.18, 5 Mg 3.00-3.11, 2 In 3.14-3.16

magnetization = 0.0 μB per cell
formation enthalpy at 0 K = -0.44 eV per formula unit
raw total energy = -30.90 eV/cell


# 2
Material: Ca2MnPt
Method: DFT, PBE
State: relaxed

Cell: 6.1567 6.1567 6.1567 Å, 145.50 132.50 60.02°
Closest atoms and distances in Å follow each position.
Fractional coordinates of all 4 atoms:
Ca (0.0000, 0.0000, 0.0000)  4 Pt 3.10, 2 Mn 3.26, 2 Ca 3.32
Ca (0.7078, 0.2078, 0.5000)  2 Pt 3.14, 4 Mn 3.24, 2 Ca 3.32
Mn (0.3016, 0.8016, 0.5000)  2 Pt 2.55
Pt (0.4678, 0.4678, 0.0000)  2 Mn 2.55

magnetization = 4.1 μB per cell
formation enthalpy at 0 K = -0.99 eV per formula unit
raw total energy = -20.20 eV/cell


# 3
Material: PaSe2Cl2
Method: DFT, PBE
State: relaxed

Cell: 7.3547 7.3547 6.8777 Å, 98.39 98.39 125.68°
Closest atoms and distances in Å follow each position.
Fractional coordinates of all 10 atoms:
Pa (0.1398, 0.8602, 0.0000)  4 Cl 2.75-2.79, 4 Se 2.89-2.90
Pa (0.8602, 0.1398, 0.0000)  4 Cl 2.75-2.79, 4 Se 2.89-2.90
Se (0.1166, 0.1166, 0.3449)  1 Se 2.55
Se (0.3522, 0.3522, 0.1193)  1 Se 2.55
Se (0.6478, 0.6478, 0.8807)  1 Se 2.55
Se (0.8834, 0.8834, 0.6551)  1 Se 2.55
Cl (0.0173, 0.4496, 0.7615)  2 Pa 2.75-2.79
Cl (0.4496, 0.0173, 0.7615)  2 Pa 2.75-2.79
Cl (0.5504, 0.9827, 0.2385)  2 Pa 2.75-2.79
Cl (0.9827, 0.5504, 0.2385)  2 Pa 2.75-2.79

formation energy from raw total energies = -1396 meV/atom
magnetization = 1.3 μB per cell
raw total energy = -54.28 eV/cell


The highest magnetization belongs to which entry?
Ca2MnPt


The lowest magnetization belongs to which entry?
Mg2InGa3


Among the records above, which one has the highest raw total energy?
Ca2MnPt